(1)
PmMg6Ge2 | PBE | relaxed

As for the electronic total energy: -25.92 eV per formula unit. The calculation puts the formation energy at -263.4 meV per atom. Its magnetic moment is 0.0 μB/f.u.

Unit cell a=4.338 b=4.338 c=10.592 alpha=90.00 beta=90.00 gamma=90.00
Atoms (fractional coordinates):
Mg: 0.500 0.000 0.277
Mg: 0.000 0.000 0.500
Mg: 0.500 0.500 0.500
Pm: 0.000 0.000 0.000
Ge: 0.500 0.500 0.882
Mg: 0.500 0.000 0.723
Ge: 0.500 0.500 0.118
Mg: 0.000 0.500 0.277
Mg: 0.000 0.500 0.723

=====

(2)
AlRu2Pb | PBE | relaxed

As for the electronic total energy: -25.47 eV per formula unit. The calculation puts the formation energy at 133.6 meV per atom. Its magnetic moment is 0.0 μB/f.u.

Unit cell a=4.464 b=4.464 c=5.425 alpha=78.06 beta=78.06 gamma=40.36
Atoms (fractional coordinates):
Ru: 0.988 0.988 0.050
Ru: 0.512 0.512 0.450
Pb: 0.750 0.750 0.750
Al: 0.250 0.250 0.250

=====

(3)
CaGa6Pt3 | PBE | relaxed

As for the electronic total energy: -44.62 eV per formula unit. The calculation puts the formation energy at -633.8 meV per atom. Its magnetic moment is 0.0 μB/f.u.

Unit cell a=4.325 b=8.661 c=9.765 alpha=86.33 beta=90.00 gamma=90.00
Atoms (fractional coordinates):
Ga: 0.250 0.822 0.613
Ga: 0.750 0.463 0.093
Ca: 0.250 0.951 0.299
Pt: 0.250 0.617 0.154
Pt: 0.750 0.168 0.121
Ga: 0.750 0.178 0.387
Pt: 0.250 0.832 0.879
Ga: 0.250 0.288 0.745
Ca: 0.750 0.049 0.701
Ga: 0.750 0.712 0.255
Ga: 0.750 0.890 0.024
Pt: 0.250 0.275 0.489
Pt: 0.750 0.725 0.511
Ga: 0.250 0.537 0.907
Ga: 0.250 0.313 0.222
Pt: 0.750 0.383 0.846
Ga: 0.750 0.427 0.576
Ga: 0.250 0.110 0.976
Ga: 0.250 0.573 0.424
Ga: 0.750 0.687 0.778

=====

(4)
TiTlCo2Mo | PBE | relaxed

As for the electronic total energy: -29.85 eV per formula unit. The calculation puts the formation energy at 1090.7 meV per atom. Its magnetic moment is 1.8 μB/f.u.

Unit cell a=4.526 b=4.698 c=4.526 alpha=90.00 beta=90.00 gamma=90.00
Each line ends with the local moment (μB).
Atoms (fractional coordinates):
Tl: 0.500 0.500 0.500  0.00
Ti: 0.000 0.500 0.000  0.28
Co: 0.500 0.000 0.000  0.63
Co: 0.000 0.000 0.500  0.99
Mo: 0.000 0.000 0.000  -0.07

=====

(5)
CoSb2 | PBE | relaxed

As for the electronic total energy: -15.17 eV per formula unit. The calculation puts the uncorrected formation energy at 0.18 eV per formula unit. Its magnetic moment is 0.3 μB/f.u.

Unit cell a=6.789 b=6.789 c=6.789 alpha=153.19 beta=153.19 gamma=38.27
Each line ends with the local moment (μB).
Atoms (fractional coordinates):
Co: 0.000 0.000 0.000  0.36
Sb: 0.625 0.625 0.000  -0.01
Sb: 0.375 0.375 0.000  -0.01

=====

(6)
Nd2SmRh2 | PBE | relaxed

As for the electronic total energy: -31.44 eV per formula unit. The calculation puts the formation energy at -495.6 meV per atom. Its magnetic moment is 0.0 μB/f.u.

Unit cell a=4.046 b=7.457 c=9.003 alpha=90.00 beta=102.98 gamma=90.00
Atoms (fractional coordinates):
Nd: 0.968 0.751 0.937
Rh: 0.192 0.118 0.383
Sm: 0.380 0.414 0.760
Nd: 0.809 0.028 0.618
Rh: 0.447 0.054 0.894
Sm: 0.620 0.914 0.240
Nd: 0.191 0.528 0.382
Rh: 0.808 0.618 0.617
Nd: 0.032 0.251 0.063
Rh: 0.553 0.554 0.106

=====

(7)
Tb2NdOsN4 | PBE | relaxed

As for the electronic total energy: -66.04 eV per formula unit. The calculation puts the uncorrected formation energy at -7.48 eV per formula unit. Its magnetic moment is 0.0 μB/f.u.

Unit cell a=3.450 b=6.133 c=11.742 alpha=90.00 beta=90.00 gamma=106.33
Atoms (fractional coordinates):
N: 0.733 0.465 0.629
Tb: 0.369 0.737 0.541
Nd: 0.880 0.760 0.250
Os: 0.857 0.713 0.750
N: 0.267 0.535 0.129
N: 0.000 0.000 0.500
N: 0.440 0.879 0.750
Tb: 0.369 0.737 0.959
Nd: 0.120 0.240 0.750
Tb: 0.631 0.263 0.459
Os: 0.143 0.287 0.250
N: 0.267 0.535 0.371
N: 0.000 0.000 0.000
N: 0.733 0.465 0.871
N: 0.560 0.121 0.250
Tb: 0.631 0.263 0.041

=====

(8)
LiB2C2 | PBE | relaxed

As for the electronic total energy: -33.90 eV per formula unit. The calculation puts the formation energy at -36.4 meV per atom. Its magnetic moment is 0.0 μB/f.u.

Unit cell a=2.735 b=4.603 c=14.542 alpha=90.61 beta=90.00 gamma=90.00
Atoms (fractional coordinates):
C: 0.500 0.182 0.872
C: 0.000 0.319 0.122
C: 0.500 0.802 0.616
C: 0.500 0.818 0.128
Li: 0.500 0.500 0.000
Li: 0.500 0.511 0.749
C: 0.000 0.303 0.634
C: 0.500 0.198 0.384
B: 0.000 0.332 0.872
B: 0.500 0.160 0.122
B: 0.000 0.668 0.128
B: 0.500 0.840 0.878
C: 0.000 0.697 0.366
Li: 0.000 0.000 0.500
B: 0.000 0.643 0.616
B: 0.500 0.856 0.366
B: 0.000 0.357 0.384
C: 0.000 0.681 0.878
Li: 0.500 0.489 0.251
B: 0.500 0.144 0.634

=====

(9)
MnZn2Co4 | PBE | relaxed

As for the electronic total energy: -39.82 eV per formula unit. The calculation puts the formation energy at 46.5 meV per atom. Its magnetic moment is 9.6 μB/f.u.

Unit cell a=2.736 b=2.754 c=11.774 alpha=90.00 beta=96.67 gamma=90.00
Each line ends with the local moment (μB).
Atoms (fractional coordinates):
Co: 0.067 0.500 0.135  1.76
Co: 0.933 0.500 0.865  1.76
Co: 0.371 0.000 0.743  1.51
Zn: 0.200 0.500 0.401  -0.04
Zn: 0.800 0.500 0.599  -0.04
Mn: 0.500 0.000 0.000  3.21
Co: 0.629 0.000 0.257  1.51

=====

(10)
Ac5RuPt | PBE | relaxed

As for the electronic total energy: -38.03 eV per formula unit. The calculation puts the formation energy at -310.3 meV per atom. Its magnetic moment is 0.0 μB/f.u.

Unit cell a=7.187 b=7.187 c=11.449 alpha=106.31 beta=106.32 gamma=80.51
Atoms (fractional coordinates):
Ac: 0.759 0.932 0.140
Ac: 0.139 0.730 0.516
Ac: 0.568 0.741 0.360
Ru: 0.000 0.000 0.000
Ac: 0.432 0.259 0.640
Ac: 0.861 0.270 0.484
Ac: 0.770 0.361 0.984
Ac: 0.241 0.068 0.860
Ru: 0.500 0.500 0.500
Pt: 0.923 0.577 0.250
Ac: 0.250 0.250 0.250
Ac: 0.230 0.639 0.016
Pt: 0.077 0.423 0.750
Ac: 0.750 0.750 0.750

=====

(11)
LiPuSeS | PBE | relaxed

As for the electronic total energy: -29.63 eV per formula unit. The calculation puts the uncorrected formation energy at -5.78 eV per formula unit. Its magnetic moment is 5.0 μB/f.u.

Unit cell a=3.939 b=3.939 c=5.626 alpha=90.00 beta=90.00 gamma=90.00
Each line ends with the local moment (μB).
Atoms (fractional coordinates):
Se: 0.500 0.500 0.500  -0.12
S: 0.000 0.000 0.000  -0.12
Li: 0.000 0.000 0.500  0.00
Pu: 0.500 0.500 0.000  5.06

=====

(12)
SrMg3 | PBE | relaxed

As for the electronic total energy: -5.72 eV per formula unit. The calculation puts the formation energy at 185.3 meV per atom. Its magnetic moment is 0.0 μB/f.u.

Unit cell a=6.734 b=6.734 c=5.741 alpha=90.00 beta=90.00 gamma=98.41
Atoms (fractional coordinates):
Mg: 0.577 0.091 0.250
Sr: 0.599 0.401 0.750
Mg: 0.909 0.423 0.250
Mg: 0.062 0.938 0.250
Mg: 0.423 0.909 0.750
Mg: 0.091 0.577 0.750
Mg: 0.938 0.062 0.750
Sr: 0.401 0.599 0.250

=====

Question: Look up the electronic total energy of the sixth one.
Answer: -31.44 eV per formula unit

=====

Question: Which of these has the highest electronic total energy?
Answer: SrMg3